No. 1
# PBE AcPr2Dy, relaxed
# Crystal system ... cubic
# Energy above the lowest structure with this stoichiometry ... 136.3 meV per atom
data_AcPr2Dy
_cell_length_a 8.4242
_cell_length_b 8.4242
_cell_length_c 8.4242
_cell_angle_alpha 90.00
_cell_angle_beta 90.00
_cell_angle_gamma 90.00
_symmetry_space_group_name_H-M 'F m -3 m'
_symmetry_Int_Tables_number 225
_symmetry_space_group_name_Hall '-F 4 2 3'
loop_
_atom_site_label
_atom_site_type_symbol
_atom_site_fract_x
_atom_site_fract_y
_atom_site_fract_z
_atom_site_occupancy
Ac1 Ac 0.0000 0.0000 0.0000 1
Pr1 Pr 0.2500 0.2500 0.2500 1
Dy1 Dy 0.0000 0.0000 0.5000 1

=====

No. 2
# PBE AcPrDy4, relaxed
# Crystal system ... cubic
# Energy above the lowest structure with this stoichiometry ... 209.0 meV per atom
data_AcPrDy4
_cell_length_a 9.5433
_cell_length_b 9.5433
_cell_length_c 9.5433
_cell_angle_alpha 90.00
_cell_angle_beta 90.00
_cell_angle_gamma 90.00
_symmetry_space_group_name_H-M 'F -4 3 m'
_symmetry_Int_Tables_number 216
_symmetry_space_group_name_Hall 'F -4 2 3'
loop_
_atom_site_label
_atom_site_type_symbol
_atom_site_fract_x
_atom_site_fract_y
_atom_site_fract_z
_atom_site_occupancy
Ac1 Ac 0.0000 0.0000 0.0000 1
Pr1 Pr 0.2500 0.2500 0.7500 1
Dy1 Dy 0.1242 0.1242 0.3758 1

=====

For each record above, in turn, the calculated E_form values are 62; 156 kJ/mol of formula units.
For each record above, in turn, the calculated volume values are 37.37; 36.21 Å³/atom.